## AcHoGe (GGA-PBE)

Data for a geometry-optimized AcHoGe structure.

Results
ΔH_f (0 K): -398 meV/atom
DOS at the Fermi energy: 3.158 states/eV/f.u.
M_tot: 0.000 μB/atom
Mass density: 8.011 g/cm3
Polymorph energy (0 for the lowest one): 165 meV per atom
Calculated total energy: -4.833 eV/atom
Space group: F-43m, No. 216

```
3
Lattice="-1.611 4.237 -2.434 -3.641 -0.339 -3.619 -4.712 1.855 0.910" Properties=species:S:1:pos:R:3 pbc="T T T"
Ge -2.491 1.438 -1.286
Ac -4.982 2.876 -2.571
Ho 0.000 0.000 0.000
```